A relaxed Ho8Tm2Th crystal, computed with PBE.

Calculated values
The total energy is -4.79 eV/atom. The value obtained for the density of states at the Fermi level is 1.491 states/eV per atom. The space group is C2/m (12). The mass density comes out at 9.197 Mg/m³. The energy of formation is 0.030 eV per atom.

Lattice parameters (Å, degrees): 4.9854 7.8865 9.3325 104.71 105.49 90.00
Fractional coordinates of all 11 atoms:
Ho 0.6807 0.9081 0.3614
Ho 0.8643 0.8189 0.7286
Ho 0.5909 0.4535 0.1817
Ho 0.1357 0.1811 0.2714
Ho 0.3193 0.0919 0.6386
Ho 0.4091 0.5465 0.8183
Ho 0.0452 0.7316 0.0904
Ho 0.9548 0.2684 0.9096
Th 0.5000 0.0000 0.0000
Tm 0.7717 0.3640 0.5434
Tm 0.2283 0.6360 0.4566

A relaxed NaAc2Rh2O6 crystal, computed with PBE.

Calculated values
The total energy is -6.45 eV/atom. Its uncorrected formation energy is -1539.6 meV/atom. The value obtained for the density of states at the Fermi level is 0.549 states/eV per atom. The space group is R-3m (166). The mass density comes out at 7.365 Mg/m³.

Lattice parameters (Å, degrees): 5.9368 5.9368 6.6961 63.69 63.69 60.00
Fractional coordinates of all 11 atoms:
O 0.2505 0.7948 0.7042
O 0.7495 0.2052 0.2958
O 0.7948 0.2505 0.7042
O 0.2052 0.7495 0.2958
O 0.2505 0.2505 0.7042
O 0.7495 0.7495 0.2958
Rh 0.5901 0.5901 0.2297
Rh 0.4099 0.4099 0.7703
Na 0.0000 0.0000 0.0000
Ac 0.7855 0.7855 0.6434
Ac 0.2145 0.2145 0.3566

A relaxed DyLuCd2 crystal, computed with PBE.

Calculated values
The total energy is -3.05 eV/atom. The value obtained for the density of states at the Fermi level is 0.806 states/eV per atom. For the relative energy among the computed polymorphs, the calculation gives 0.0000 eV per atom. The space group is Fm-3m (225). The mass density comes out at 9.172 Mg/m³. The energy of formation is -0.314 eV per atom.

Lattice parameters (Å, degrees): 5.2411 5.2411 5.2411 60.00 60.00 60.00
Fractional coordinates of all 4 atoms:
Dy 0.5000 0.5000 0.5000
Cd 0.7500 0.7500 0.7500
Cd 0.2500 0.2500 0.2500
Lu 0.0000 0.0000 0.0000

A relaxed Er2Tm12Sc crystal, computed with PBE.

Calculated values
The total energy is -4.21 eV/atom. The value obtained for the density of states at the Fermi level is 1.706 states/eV per atom. The space group is P4/nbm (125). The mass density comes out at 8.241 Mg/m³. The energy of formation is 0.399 eV per atom.

Lattice parameters (Å, degrees): 6.3579 6.3579 23.9928 90.00 90.00 90.00
Each line ends with the local moment (μB).
Fractional coordinates of all 30 atoms:
Tm 0.0000 0.0000 0.7909  0.07
Tm 0.5000 0.5000 0.3373  0.07
Tm 0.2498 0.2502 0.8956  0.02
Tm 0.7498 0.2498 0.8956  0.02
Tm 0.0000 0.0000 0.3373  0.07
Tm 0.3310 0.1690 0.5621  0.00
Tm 0.0000 0.0000 0.2091  0.07
Tm 0.8310 0.3310 0.5621  0.00
Tm 0.5000 0.5000 0.6627  0.07
Tm 0.7502 0.2502 0.1044  0.02
Tm 0.2502 0.2498 0.1044  0.02
Tm 0.5000 0.5000 0.2091  0.07
Tm 0.5000 0.5000 0.7909  0.07
Tm 0.0000 0.0000 0.6627  0.07
Tm 0.2502 0.7502 0.8956  0.02
Tm 0.1690 0.6690 0.5621  0.00
Tm 0.7502 0.7498 0.8956  0.02
Tm 0.6690 0.8310 0.5621  0.00
Tm 0.2498 0.7498 0.1044  0.02
Tm 0.8310 0.6690 0.4379  0.00
Tm 0.3310 0.8310 0.4379  0.00
Tm 0.1690 0.3310 0.4379  0.00
Tm 0.7498 0.7502 0.1044  0.02
Tm 0.6690 0.1690 0.4379  0.00
Sc 0.5000 0.0000 0.0000  0.01
Sc 0.0000 0.5000 0.0000  0.01
Er 0.5000 0.0000 0.7288  0.07
Er 0.5000 0.0000 0.2712  0.07
Er 0.0000 0.5000 0.2712  0.07
Er 0.0000 0.5000 0.7288  0.07

A relaxed Ba4Hg2N crystal, computed with PBE.

Calculated values
The total energy is -2.76 eV/atom. Its uncorrected formation energy is -388.7 meV/atom. The value obtained for the density of states at the Fermi level is 0.873 states/eV per atom. For the relative energy among the computed polymorphs, the calculation gives 0.0213 eV per atom. The space group is Pnma (62). The mass density comes out at 5.309 Mg/m³.

Lattice parameters (Å, degrees): 8.1825 10.0489 14.6766 90.00 90.00 90.00
Fractional coordinates of all 28 atoms:
Hg 0.7500 0.0182 0.1791
Hg 0.7500 0.8935 0.5694
Hg 0.7500 0.3935 0.9306
Hg 0.7500 0.5182 0.3209
Hg 0.2500 0.9818 0.8209
Hg 0.2500 0.4818 0.6791
Hg 0.2500 0.1065 0.4306
Hg 0.2500 0.6065 0.0694
N 0.7500 0.7821 0.9256
N 0.2500 0.7179 0.4256
N 0.7500 0.2821 0.5744
N 0.2500 0.2179 0.0744
Ba 0.7500 0.0301 0.9227
Ba 0.2500 0.4699 0.4227
Ba 0.7500 0.6873 0.0842
Ba 0.9935 0.6869 0.8464
Ba 0.0065 0.8131 0.3464
Ba 0.7500 0.5301 0.5773
Ba 0.2500 0.3127 0.9158
Ba 0.5065 0.6869 0.8464
Ba 0.4935 0.8131 0.3464
Ba 0.5065 0.1869 0.6536
Ba 0.2500 0.8127 0.5842
Ba 0.0065 0.3131 0.1536
Ba 0.4935 0.3131 0.1536
Ba 0.9935 0.1869 0.6536
Ba 0.2500 0.9699 0.0773
Ba 0.7500 0.1873 0.4158

A relaxed Y3TmRu crystal, computed with PBE.

Calculated values
The total energy is -6.83 eV/atom. The value obtained for the density of states at the Fermi level is 1.155 states/eV per atom. For the relative energy among the computed polymorphs, the calculation gives 0.0192 eV per atom. The space group is C2/m (12). The mass density comes out at 6.097 Mg/m³. The energy of formation is -0.203 eV per atom.

Lattice parameters (Å, degrees): 7.2409 7.2409 7.2554 108.24 112.85 107.29
Each line ends with the local moment (μB).
Fractional coordinates of all 10 atoms:
Ru 0.6200 0.7526 0.3726  0.01
Ru 0.3800 0.2474 0.6274  0.01
Y 0.1537 0.9503 0.7101  0.05
Y 0.7072 0.4478 0.1551  0.05
Y 0.2402 0.4436 0.2899  0.05
Y 0.2928 0.5522 0.8449  0.05
Y 0.7598 0.5564 0.7101  0.05
Y 0.8463 0.0497 0.2899  0.05
Tm 0.2985 0.9472 0.2457  0.08
Tm 0.7015 0.0528 0.7543  0.08

A relaxed TmZrPa2As4 crystal, computed with PBE.

Calculated values
The total energy is -7.50 eV/atom. The value obtained for the density of states at the Fermi level is 0.912 states/eV per atom. The space group is P2/m (10). The mass density comes out at 9.194 Mg/m³. The energy of formation is -1.175 eV per atom.

Lattice parameters (Å, degrees): 4.0490 7.0024 6.9174 109.77 90.00 90.00
Fractional coordinates of all 8 atoms:
Zr 0.0000 0.0000 0.0000
As 0.0000 0.2490 0.7576
As 0.0000 0.7510 0.2424
As 0.5000 0.7564 0.7598
As 0.5000 0.2436 0.2402
Tm 0.5000 0.5000 0.0000
Pa 0.0000 0.5000 0.5000
Pa 0.5000 0.0000 0.5000

A relaxed Nd2US5 crystal, computed with PBE.

Calculated values
The total energy is -7.02 eV/atom. Its uncorrected formation energy is -1832.5 meV/atom. The value obtained for the density of states at the Fermi level is 0.789 states/eV per atom. For the relative energy among the computed polymorphs, the calculation gives 0.0000 eV per atom. The space group is Pnma (62). The mass density comes out at 6.285 Mg/m³.

Lattice parameters (Å, degrees): 7.5128 8.0757 11.9633 90.00 90.00 90.00
Each line ends with the local moment (μB).
Fractional coordinates of all 32 atoms:
Nd 0.9765 0.0003 0.8229  0.03
Nd 0.4765 0.5003 0.6771  0.03
Nd 0.9765 0.4997 0.8229  0.03
Nd 0.5235 0.0003 0.3229  0.03
Nd 0.5235 0.4997 0.3229  0.03
Nd 0.0235 0.9997 0.1771  0.03
Nd 0.4765 0.9997 0.6771  0.03
Nd 0.0235 0.5003 0.1771  0.03
S 0.8393 0.9589 0.5957  -0.05
S 0.9531 0.2500 0.0006  -0.02
S 0.0469 0.7500 0.9994  -0.02
S 0.8042 0.2500 0.2866  -0.02
S 0.1958 0.7500 0.7134  -0.02
S 0.6958 0.2500 0.7866  -0.02
S 0.1698 0.2500 0.6857  -0.02
S 0.8393 0.5411 0.5957  -0.05
S 0.6607 0.5411 0.0957  -0.05
S 0.3393 0.0411 0.9043  -0.05
S 0.3042 0.7500 0.2134  -0.02
S 0.6698 0.7500 0.8143  -0.02
S 0.8302 0.7500 0.3143  -0.02
S 0.5469 0.2500 0.5006  -0.02
S 0.4531 0.7500 0.4994  -0.02
S 0.1607 0.4589 0.4043  -0.05
S 0.1607 0.0411 0.4043  -0.05
S 0.3393 0.4589 0.9043  -0.05
S 0.6607 0.9589 0.0957  -0.05
S 0.3302 0.2500 0.1857  -0.02
U 0.9306 0.2500 0.5080  1.97
U 0.4306 0.7500 0.9920  1.97
U 0.0694 0.7500 0.4920  1.97
U 0.5694 0.2500 0.0080  1.97

A relaxed La3NiB2Pt9 crystal, computed with PBE.

Calculated values
The total energy is -6.66 eV/atom. The value obtained for the density of states at the Fermi level is 0.376 states/eV per atom. The space group is P-3m1 (164). The mass density comes out at 13.682 Mg/m³. The energy of formation is -0.773 eV per atom.

Lattice parameters (Å, degrees): 5.8168 5.8168 9.3308 90.00 90.00 120.00
Fractional coordinates of all 15 atoms:
Pt 0.1633 0.8367 0.2878
Pt 0.5000 0.5000 0.0000
Pt 0.6734 0.8367 0.2878
Pt 0.8367 0.1633 0.7122
Pt 0.5000 0.0000 0.0000
Pt 0.1633 0.3266 0.2878
Pt 0.0000 0.5000 0.0000
Pt 0.3266 0.1633 0.7122
Pt 0.8367 0.6734 0.7122
La 0.3333 0.6667 0.6041
La 0.6667 0.3333 0.3959
La 0.0000 0.0000 0.0000
B 0.6667 0.3333 0.8484
B 0.3333 0.6667 0.1516
Ni 0.0000 0.0000 0.5000

A relaxed Sm2Ge3Os crystal, computed with PBE.

Calculated values
The total energy is -6.30 eV/atom. The value obtained for the density of states at the Fermi level is 0.535 states/eV per atom. For the relative energy among the computed polymorphs, the calculation gives 0.0000 eV per atom. The space group is Cm (8). The mass density comes out at 9.174 Mg/m³. The energy of formation is -0.545 eV per atom.

Lattice parameters (Å, degrees): 4.4113 5.7831 5.9140 75.29 68.10 67.58
Fractional coordinates of all 6 atoms:
Os 0.1663 0.3916 0.2757
Ge 0.8787 0.5841 0.6584
Ge 0.1802 0.7365 0.9031
Ge 0.7978 0.2766 0.1278
Sm 0.4315 0.8191 0.3179
Sm 0.5454 0.1920 0.7171

A relaxed Tb4Pr3Pt4 crystal, computed with PBE.

Calculated values
The total energy is -6.05 eV/atom. The value obtained for the density of states at the Fermi level is 1.052 states/eV per atom. The space group is Immm (71). The mass density comes out at 10.624 Mg/m³. The energy of formation is -0.868 eV per atom.

Lattice parameters (Å, degrees): 4.6601 7.8372 9.0945 115.52 104.84 90.00
Fractional coordinates of all 11 atoms:
Tb 0.6712 0.8834 0.3424
Tb 0.3288 0.5410 0.6576
Tb 0.3288 0.1166 0.6576
Tb 0.6712 0.4590 0.3424
Pt 0.5000 0.1868 0.0000
Pt 0.5000 0.8132 0.0000
Pt 0.2081 0.7081 0.4162
Pt 0.7919 0.2919 0.5838
Pr 0.1015 0.1015 0.2029
Pr 0.0000 0.5000 0.0000
Pr 0.8985 0.8985 0.7971

A relaxed Ba3Na5H12 crystal, computed with PBE.

Calculated values
The total energy is -2.81 eV/atom. The value obtained for the density of states at the Fermi level is 0.433 states/eV per atom. The space group is Ia-3d (230). The mass density comes out at 2.439 Mg/m³.

Lattice parameters (Å, degrees): 12.4004 12.4004 12.4004 109.47 109.47 109.47
Fractional coordinates of all 80 atoms:
Ba 0.6250 0.3750 0.7500
Ba 0.7500 0.3750 0.1250
Ba 0.2500 0.1250 0.3750
Ba 0.7500 0.8750 0.6250
Ba 0.8750 0.1250 0.2500
Ba 0.1250 0.8750 0.7500
Ba 0.3750 0.7500 0.6250
Ba 0.6250 0.2500 0.3750
Ba 0.1250 0.2500 0.8750
Ba 0.2500 0.6250 0.8750
Ba 0.8750 0.7500 0.1250
Ba 0.3750 0.6250 0.2500
H 0.7838 0.3239 0.9139
H 0.9100 0.0861 0.8699
H 0.5401 0.3239 0.9100
H 0.8239 0.9100 0.0401
H 0.4139 0.1301 0.5900
H 0.0861 0.1761 0.2162
H 0.9599 0.3699 0.2838
H 0.8239 0.9139 0.2838
H 0.7162 0.5861 0.1761
H 0.9139 0.0900 0.6301
H 0.5900 0.6301 0.4139
H 0.0401 0.4100 0.8239
H 0.9599 0.5900 0.1761
H 0.0900 0.9139 0.1301
H 0.4599 0.6761 0.0900
H 0.9139 0.8239 0.7838
H 0.7838 0.4599 0.3699
H 0.4100 0.0401 0.3239
H 0.3239 0.7838 0.4139
H 0.5861 0.8699 0.4100
H 0.0401 0.6301 0.7162
H 0.5401 0.2162 0.1301
H 0.6761 0.2162 0.5861
H 0.3699 0.4100 0.0861
H 0.6301 0.0401 0.2162
H 0.6301 0.5900 0.9139
H 0.4139 0.2838 0.3239
H 0.2162 0.5401 0.6301
H 0.9100 0.8239 0.5401
H 0.1301 0.4139 0.0900
H 0.0861 0.9100 0.3699
H 0.0900 0.1761 0.4599
H 0.7162 0.1301 0.0401
H 0.1301 0.7162 0.5401
H 0.5900 0.9599 0.6761
H 0.8699 0.5861 0.9100
H 0.4100 0.3699 0.5861
H 0.3699 0.9599 0.7838
H 0.1761 0.0861 0.7162
H 0.8699 0.2838 0.4599
H 0.2838 0.8699 0.9599
H 0.2162 0.6761 0.0861
H 0.5861 0.7162 0.6761
H 0.3239 0.5401 0.4100
H 0.2838 0.4139 0.8239
H 0.6761 0.4599 0.5900
H 0.4599 0.7838 0.8699
H 0.1761 0.0900 0.9599
Na 0.8750 0.2500 0.6250
Na 0.6250 0.7500 0.8750
Na 0.5000 0.0000 0.0000
Na 0.5000 0.5000 0.5000
Na 0.3750 0.1250 0.7500
Na 0.1250 0.7500 0.3750
Na 0.3750 0.2500 0.1250
Na 0.0000 0.5000 0.5000
Na 0.0000 0.0000 0.0000
Na 0.0000 0.5000 0.0000
Na 0.1250 0.3750 0.2500
Na 0.5000 0.0000 0.5000
Na 0.7500 0.1250 0.8750
Na 0.7500 0.6250 0.3750
Na 0.8750 0.6250 0.7500
Na 0.0000 0.0000 0.5000
Na 0.5000 0.5000 0.0000
Na 0.6250 0.8750 0.2500
Na 0.2500 0.3750 0.6250
Na 0.2500 0.8750 0.1250